VASP calculation (PBE-GGA) on an optimized crystal structure of SnPb3.

Cell and atoms, written as CIF:
```
data_SnPb3
_chemical_formula_sum 'Sn2 Pb6'
_cell_length_a 5.241
_cell_length_b 5.241
_cell_length_c 8.881
_cell_angle_alpha 90.00
_cell_angle_beta 90.00
_cell_angle_gamma 90.00
_space_group_name_H-M_alt 'I 4/m m m'
_space_group_IT_number 139
_space_group_name_Hall '-I 4 2'
loop_
_atom_site_label
_atom_site_type_symbol
_atom_site_fract_x
_atom_site_fract_y
_atom_site_fract_z
_atom_site_occupancy
Sn1 Sn 0.000 0.000 0.000 1
Pb1 Pb 0.000 0.000 0.500 1
Pb2 Pb 0.000 0.500 0.250 1
```

Properties
Total magnetization in μB per formula unit: 0.0
Formation energy from the elements in meV per atom: 29
Energy in eV/atom: -3.753
Distance to the lowest polymorph of the same formula in eV per atom: 0.013

VASP calculation (PBE-GGA) on an optimized crystal structure of CaMg2Cd6.

Cell and atoms, written as CIF:
```
data_CaMg2Cd6
_chemical_formula_sum 'Ca1 Mg2 Cd6'
_cell_length_a 8.6147
_cell_length_b 8.6147
_cell_length_c 3.3277
_cell_angle_alpha 90.00
_cell_angle_beta 90.00
_cell_angle_gamma 120.00
_space_group_name_H-M_alt 'P 6/m m m'
_space_group_IT_number 191
_space_group_name_Hall '-P 6 2'
loop_
_atom_site_label
_atom_site_type_symbol
_atom_site_fract_x
_atom_site_fract_y
_atom_site_fract_z
_atom_site_occupancy
Ca1 Ca 0.0000 0.0000 0.0000 1
Mg1 Mg 0.3333 0.6667 0.0000 1
Cd1 Cd 0.0000 0.3360 0.5000 1
```

Properties
Total magnetization in μB per formula unit: 0.0
Formation energy from the elements in meV per atom: -136
Energy in eV/atom: -1.323
Distance to the lowest polymorph of the same formula in eV per atom: 0.025

Which formula does entry 1 have?
SnPb3

energy of number 2 (CaMg2Cd6)?
-1.323 eV/atom